(1)
DFT (GGA-PBE) results for Ta3VFe2 after structural relaxation.

```
12
Lattice="2.188 -6.559 0.000 2.188 6.559 0.000 0.000 0.000 6.164" Properties=species:S:1:pos:R:3 pbc="T T T"
Ta 0.000 0.000 1.530
Ta 0.000 0.000 4.634
Ta 2.188 2.173 1.523
Ta 2.188 2.173 4.641
Ta 2.188 -2.173 1.523
Ta 2.188 -2.173 4.641
V 2.188 4.376 3.082
V 2.188 -4.376 3.082
Fe 2.188 4.393 0.000
Fe 2.188 0.000 0.000
Fe 2.188 0.000 3.082
Fe 2.188 -4.393 0.000
```

DOS(E_F) in states/eV/cell: 10.52
Energy in eV per formula unit: -62.3
Total magnetization in μB/cell: 1.779
SG: Cmmm

***

(2)
DFT (GGA-PBE) results for Rb3AuBr2 after structural relaxation.

```
12
Lattice="7.907 -3.521 0.000 7.907 3.521 0.000 -3.108 0.000 9.414" Properties=species:S:1:pos:R:3 pbc="T T T"
Rb 5.576 3.516 7.061
Rb 2.374 0.003 8.615
Rb 3.927 -0.003 3.908
Rb 8.779 0.003 5.507
Rb 10.332 -0.003 0.799
Rb 7.130 -3.516 2.354
Au 7.130 0.004 2.354
Au 5.576 -0.004 7.061
Br 0.813 0.003 5.490
Br 2.367 -0.003 0.783
Br 10.339 0.003 8.632
Br 11.892 -0.003 3.925
```

DOS(E_F) in states/eV/cell: 0.00
Energy in eV per formula unit: -17.0
Uncorrected formation energy in eV/atom: -1.2514
Total magnetization in μB/cell: 0.000
SG: C2/c

***

(3)
DFT (GGA-PBE) results for Tc2Sb after structural relaxation.

```
6
Lattice="5.495 -1.562 0.000 5.495 1.562 0.000 -1.454 0.000 5.840" Properties=species:S:1:pos:R:3 pbc="T T T"
Tc -0.076 0.000 1.801
Tc 2.881 0.000 2.180
Tc 6.655 0.000 3.660
Tc 9.611 0.000 4.039
Sb 2.562 0.000 5.536
Sb 6.974 0.000 0.304
```

DOS(E_F) in states/eV/cell: 3.90
Energy in eV per formula unit: -24.4
Excess energy over the best structure of this formula in the dataset in meV per atom: 45.8
Uncorrected formation energy in eV/atom: 0.1516
Total magnetization in μB/cell: 0.000
SG: C2/m

***

(4)
DFT (GGA-PBE) results for K3AcOs2O9 after structural relaxation.

```
15
Lattice="5.832 0.000 0.000 -2.916 5.050 0.000 0.000 0.000 7.565" Properties=species:S:1:pos:R:3 pbc="T T T"
K 0.000 0.000 0.000
K 0.000 3.367 5.248
K 2.916 1.683 2.316
Ac 0.000 0.000 3.782
Os 0.000 3.367 1.082
Os 2.916 1.683 6.483
O -1.458 2.525 0.000
O 0.000 1.839 2.192
O -1.324 4.131 2.192
O 1.592 0.919 5.373
O 2.916 0.000 0.000
O 1.458 2.525 0.000
O 1.324 4.131 2.192
O 4.239 0.919 5.373
O 2.916 3.212 5.373
```

DOS(E_F) in states/eV/cell: 3.72
Energy in eV per formula unit: -99.5
Uncorrected formation energy in eV/atom: -1.6667
Total magnetization in μB/cell: 0.000
SG: P-3m1

***

(5)
DFT (GGA-PBE) results for NbFeNi4 after structural relaxation.

```
12
Lattice="1.300 -8.331 0.000 1.300 8.331 0.000 0.000 0.000 6.904" Properties=species:S:1:pos:R:3 pbc="T T T"
Nb 1.300 4.162 5.178
Nb 1.300 -4.162 1.726
Fe 1.300 7.194 5.178
Fe 1.300 -7.194 1.726
Ni 1.300 6.938 1.726
Ni 1.300 2.471 0.129
Ni 1.300 2.471 3.323
Ni 1.300 0.000 0.000
Ni 1.300 0.000 3.452
Ni 1.300 -2.471 3.581
Ni 1.300 -2.471 6.775
Ni 1.300 -6.938 5.178
```

DOS(E_F) in states/eV/cell: 12.91
Energy in eV per formula unit: -41.4
Excess energy over the best structure of this formula in the dataset in meV per atom: 170.4
Total magnetization in μB/cell: 8.649
SG: Cmcm

***

(6)
DFT (GGA-PBE) results for SrNi2Os after structural relaxation.

```
4
Lattice="4.292 -1.436 0.000 4.292 1.436 0.000 -1.084 0.000 5.769" Properties=species:S:1:pos:R:3 pbc="T T T"
Sr 0.000 0.000 0.000
Ni 3.711 0.000 2.947
Ni 6.275 0.000 1.814
Os 1.309 0.000 3.625
```

DOS(E_F) in states/eV/cell: 3.46
Energy in eV per formula unit: -22.6
Excess energy over the best structure of this formula in the dataset in meV per atom: 375.8
Total magnetization in μB/cell: 0.000
SG: Cm

***

(7)
DFT (GGA-PBE) results for La3Ag2 after structural relaxation.

```
10
Lattice="3.811 0.000 0.000 0.000 3.811 0.000 0.000 0.000 20.432" Properties=species:S:1:pos:R:3 pbc="T T T"
La 0.000 0.000 0.000
La 0.000 0.000 3.864
La 0.000 0.000 7.689
La 0.000 0.000 12.744
La 0.000 0.000 16.568
La 1.905 1.905 10.216
Ag 1.905 1.905 1.927
Ag 1.905 1.905 5.780
Ag 1.905 1.905 14.653
Ag 1.905 1.905 18.505
```

DOS(E_F) in states/eV/cell: 12.23
Energy in eV per formula unit: -21.5
Excess energy over the best structure of this formula in the dataset in meV per atom: 0.0
Total magnetization in μB/cell: 0.000
SG: P4/mmm

***

(8)
DFT (GGA-PBE) results for TaTi after structural relaxation.

```
16
Lattice="8.057 0.000 0.000 0.000 8.057 0.000 0.000 0.000 4.678" Properties=species:S:1:pos:R:3 pbc="T T T"
Ta 0.360 2.562 0.000
Ta 1.058 6.421 2.339
Ta 1.636 1.058 2.339
Ta 2.562 7.697 0.000
Ta 5.495 0.360 0.000
Ta 6.421 6.999 2.339
Ta 6.999 1.636 2.339
Ta 7.697 5.495 0.000
Ti 1.587 3.719 2.339
Ti 2.306 5.030 0.000
Ti 3.027 2.306 0.000
Ti 3.719 6.470 2.339
Ti 4.338 1.587 2.339
Ti 5.030 5.751 0.000
Ti 5.751 3.027 0.000
Ti 6.470 4.338 2.339
```

DOS(E_F) in states/eV/cell: 29.24
Energy in eV per formula unit: -19.0
Total magnetization in μB/cell: 0.102
SG: P4/m

***

(9)
DFT (GGA-PBE) results for NdMg7Cd5 after structural relaxation.

```
13
Lattice="-2.963 5.017 5.002 2.963 -5.017 5.002 2.963 5.017 -5.002" Properties=species:S:1:pos:R:3 pbc="T T T"
Nd 0.000 0.000 0.000
Mg 2.963 2.128 0.031
Mg 0.000 0.000 3.493
Mg 2.963 -1.503 5.000
Mg 0.000 0.000 6.493
Mg 2.963 1.503 5.000
Mg 0.000 5.017 2.844
Mg 0.000 2.889 5.034
Cd 1.482 2.480 -2.465
Cd 4.445 2.480 -2.465
Cd 2.963 0.000 2.090
Cd -1.482 2.538 2.537
Cd 1.482 2.538 2.537
```

DOS(E_F) in states/eV/cell: 4.44
Energy in eV per formula unit: -22.5
Total magnetization in μB/cell: 0.000
SG: Imm2

***

(10)
DFT (GGA-PBE) results for Mg2CoH after structural relaxation.

```
8
Lattice="-3.133 3.133 2.703 3.133 -3.133 2.703 3.133 3.133 -2.703" Properties=species:S:1:pos:R:3 pbc="T T T"
Mg 4.699 1.087 -0.676
Mg 1.087 1.566 0.676
Mg -1.566 2.046 2.027
Mg 2.046 1.566 3.379
Co 3.133 0.000 1.351
Co 0.000 0.000 2.703
H 0.000 0.000 0.000
H 0.000 3.133 1.351
```

DOS(E_F) in states/eV/cell: 6.89
Energy in eV per formula unit: -12.3
Excess energy over the best structure of this formula in the dataset in meV per atom: 0.0
Total magnetization in μB/cell: 1.115
SG: I-42d

***

(11)
DFT (GGA-PBE) results for AlMoS2 after structural relaxation.

```
4
Lattice="1.624 0.938 7.560 -1.624 0.938 7.560 0.000 -1.875 7.560" Properties=species:S:1:pos:R:3 pbc="T T T"
Al 0.000 0.000 0.000
Mo 0.000 0.000 11.339
S 0.000 0.000 8.978
S 0.000 0.000 13.700
```

DOS(E_F) in states/eV/cell: 2.82
Energy in eV per formula unit: -23.6
Uncorrected formation energy in eV/atom: -0.2043
Total magnetization in μB/cell: 0.000
SG: R-3m

***

(12)
DFT (GGA-PBE) results for Ac2ZnGe2 after structural relaxation.

```
10
Lattice="5.901 -2.214 0.000 5.901 2.214 0.000 -4.107 0.000 10.517" Properties=species:S:1:pos:R:3 pbc="T T T"
Ac -0.575 0.000 4.299
Ac 0.044 0.000 9.007
Ac 7.652 0.000 1.511
Ac 8.271 0.000 6.218
Zn 4.266 0.000 1.917
Zn 3.430 0.000 8.600
Ge -3.261 0.000 9.567
Ge 2.630 0.000 3.801
Ge 5.066 0.000 6.716
Ge 10.957 0.000 0.950
```

DOS(E_F) in states/eV/cell: 5.72
Energy in eV per formula unit: -21.9
Total magnetization in μB/cell: 0.000
SG: C2/m